Below is a relaxed structure of PuReH2O8, with properties calculated at the PBE level.

a = 5.0600 Å, b = 5.0787 Å, c = 6.3752 Å
α = 90.38°, β = 90.43°, γ = 92.67°
Positions (direct):
Pu 0.0000 0.0000 0.0000
Re 0.0000 0.0000 0.5000
H 0.3443 0.3450 0.6403
H 0.6557 0.6550 0.3597
O 0.1658 0.8241 0.7215
O 0.1787 0.8374 0.2783
O 0.2528 0.2550 0.9879
O 0.2731 0.2759 0.5063
O 0.7269 0.7241 0.4937
O 0.7472 0.7450 0.0121
O 0.8213 0.1626 0.7217
O 0.8342 0.1759 0.2785

Results
- Symmetry: P-1 (2)

Below is a relaxed structure of KOsBr2, with properties calculated at the PBE level.

a = 3.3317 Å, b = 4.2055 Å, c = 7.7136 Å
α = 90.00°, β = 90.00°, γ = 90.00°
Positions (direct):
K 0.0000 0.0000 0.0000
Os 0.5000 0.5000 0.4426
Br 0.0000 0.0000 0.4078
Br 0.5000 0.5000 0.7848

Results
- Formation energy from raw total energies: 0.37 eV/atom
- Energy above the lowest structure with this stoichiometry: 323 meV/atom
- Symmetry: Pmm2 (25)

Below is a relaxed structure of ReAg2Se, with properties calculated at the PBE level.

a = 2.7676 Å, b = 2.7676 Å, c = 9.7717 Å
α = 90.00°, β = 90.00°, γ = 108.90°
Positions (direct):
Re 0.0000 0.0000 0.0000
Ag 0.5000 0.5000 0.2393
Ag 0.5000 0.5000 0.7607
Se 0.0000 0.0000 0.5000

Results
- Formation energy from raw total energies: 0.57 eV/atom
- Symmetry: Cmmm (65)

Below is a relaxed structure of Tm2Tl3SbO6, with properties calculated at the PBE level.

a = 6.0189 Å, b = 6.0189 Å, c = 6.8245 Å
α = 98.41°, β = 98.41°, γ = 120.00°
Positions (direct):
Tm 0.1666 0.8334 0.0000
Tm 0.8334 0.1666 0.0000
Tl 0.0000 0.0000 0.5000
Tl 0.3341 0.6659 0.5000
Tl 0.6659 0.3341 0.5000
Sb 0.5000 0.5000 0.0000
O 0.0991 0.4427 0.8272
O 0.2137 0.2137 0.1707
O 0.4427 0.0991 0.8272
O 0.5573 0.9009 0.1728
O 0.7863 0.7863 0.8293
O 0.9009 0.5573 0.1728

Results
- Formation energy from raw total energies: -1.89 eV/atom
- Symmetry: C2/m (12)

Below is a relaxed structure of La2NdScTl2, with properties calculated at the PBE level.

a = 5.0634 Å, b = 10.0933 Å, c = 7.1514 Å
α = 90.00°, β = 90.00°, γ = 90.00°
Positions (direct):
La 0.0000 0.0629 0.0000
La 0.0000 0.9371 0.5000
La 0.5000 0.1737 0.2492
La 0.5000 0.8263 0.7492
Nd 0.5000 0.4546 0.8967
Nd 0.5000 0.5454 0.3967
Sc 0.0000 0.3053 0.5907
Sc 0.0000 0.6947 0.0907
Tl 0.0000 0.3924 0.1713
Tl 0.0000 0.6076 0.6713
Tl 0.5000 0.1572 0.7129
Tl 0.5000 0.8428 0.2129

Results
- Formation energy: -269.9 meV/atom
- Symmetry: Pmc2_1 (26)

no.,density (g/cm³),E (eV per cell)
1,5.68,-91.30
2,5.98,-14.19
3,11.28,-19.36
4,9.48,-72.62
5,7.96,-54.61